Entry 1:
{
  "formula": "Tl2CdPdAu",
  "functional": "PBE-GGA",
  "state": "optimized geometry",
  "lattice": [[5.312, 0.000, 0.000], [0.000, 5.312, 0.000], [0.000, 0.000, 5.265]],
  "species": ["Tl", "Tl", "Cd", "Pd", "Au"],
  "frac_coords": [[0.000, 0.500, 0.000], [0.500, 0.000, 0.000], [0.000, 0.000, 0.500], [0.500, 0.500, 0.000], [0.500, 0.500, 0.500]],
  "formation_enthalpy_0k_kj_per_mol_atoms": 13.6,
  "spacegroup": "P4/mmm",
  "m_tot_mub_per_atom": 0.000
}

=====

Entry 2:
{
  "formula": "TlCdPdAu",
  "functional": "PBE-GGA",
  "state": "optimized geometry",
  "lattice": [[6.793, 0.000, 0.000], [0.000, 6.793, 0.000], [0.000, 0.000, 6.793]],
  "species": ["Tl", "Tl", "Tl", "Tl", "Cd", "Cd", "Cd", "Cd", "Pd", "Pd", "Pd", "Pd", "Au", "Au", "Au", "Au"],
  "frac_coords": [[0.000, 0.000, 0.000], [0.000, 0.500, 0.500], [0.500, 0.000, 0.500], [0.500, 0.500, 0.000], [0.000, 0.000, 0.500], [0.000, 0.500, 0.000], [0.500, 0.000, 0.000], [0.500, 0.500, 0.500], [0.250, 0.250, 0.250], [0.250, 0.750, 0.750], [0.750, 0.250, 0.750], [0.750, 0.750, 0.250], [0.250, 0.250, 0.750], [0.250, 0.750, 0.250], [0.750, 0.250, 0.250], [0.750, 0.750, 0.750]],
  "formation_enthalpy_0k_kj_per_mol_atoms": -9.4,
  "spacegroup": "F-43m",
  "m_tot_mub_per_atom": 0.000
}

=====

Entry 3:
{
  "formula": "TmCdPdAu",
  "functional": "PBE-GGA",
  "state": "optimized geometry",
  "lattice": [[6.828, 0.000, 0.000], [0.000, 6.828, 0.000], [0.000, 0.000, 6.828]],
  "species": ["Tm", "Tm", "Tm", "Tm", "Cd", "Cd", "Cd", "Cd", "Pd", "Pd", "Pd", "Pd", "Au", "Au", "Au", "Au"],
  "frac_coords": [[0.000, 0.000, 0.000], [0.000, 0.500, 0.500], [0.500, 0.000, 0.500], [0.500, 0.500, 0.000], [0.000, 0.000, 0.500], [0.000, 0.500, 0.000], [0.500, 0.000, 0.000], [0.500, 0.500, 0.500], [0.250, 0.250, 0.250], [0.250, 0.750, 0.750], [0.750, 0.250, 0.750], [0.750, 0.750, 0.250], [0.250, 0.250, 0.750], [0.250, 0.750, 0.250], [0.750, 0.250, 0.250], [0.750, 0.750, 0.750]],
  "formation_enthalpy_0k_kj_per_mol_atoms": -67.1,
  "spacegroup": "F-43m",
  "m_tot_mub_per_atom": 0.000
}

=====

Entry 4:
{
  "formula": "Tm4CdPd2Au",
  "functional": "PBE-GGA",
  "state": "optimized geometry",
  "lattice": [[2.498, 1.442, 8.211], [-2.498, 1.442, 8.211], [0.000, -2.884, 8.211]],
  "species": ["Tm", "Tm", "Tm", "Tm", "Cd", "Pd", "Pd", "Au"],
  "frac_coords": [[0.122, 0.122, 0.122], [0.372, 0.372, 0.372], [0.628, 0.628, 0.628], [0.878, 0.878, 0.878], [0.500, 0.500, 0.500], [0.244, 0.244, 0.244], [0.756, 0.756, 0.756], [0.000, 0.000, 0.000]],
  "formation_enthalpy_0k_kj_per_mol_atoms": -72.7,
  "spacegroup": "R-3m",
  "m_tot_mub_per_atom": 0.000
}

=====

Entry 5:
{
  "formula": "UCdPdAu",
  "functional": "PBE-GGA",
  "state": "optimized geometry",
  "lattice": [[6.926, 0.000, 0.000], [0.000, 6.926, 0.000], [0.000, 0.000, 6.926]],
  "species": ["U", "U", "U", "U", "Cd", "Cd", "Cd", "Cd", "Pd", "Pd", "Pd", "Pd", "Au", "Au", "Au", "Au"],
  "frac_coords": [[0.000, 0.000, 0.000], [0.000, 0.500, 0.500], [0.500, 0.000, 0.500], [0.500, 0.500, 0.000], [0.000, 0.000, 0.500], [0.000, 0.500, 0.000], [0.500, 0.000, 0.000], [0.500, 0.500, 0.500], [0.250, 0.250, 0.750], [0.250, 0.750, 0.250], [0.750, 0.250, 0.250], [0.750, 0.750, 0.750], [0.250, 0.250, 0.250], [0.250, 0.750, 0.750], [0.750, 0.250, 0.750], [0.750, 0.750, 0.250]],
  "formation_enthalpy_0k_kj_per_mol_atoms": -18.8,
  "spacegroup": "F-43m",
  "m_tot_mub_per_atom": 0.616
}

=====

Entry 6:
{
  "formula": "UCdPd2Au4",
  "functional": "PBE-GGA",
  "state": "optimized geometry",
  "lattice": [[3.917, 0.000, 0.000], [0.000, 3.917, 0.000], [0.000, 0.000, 10.905]],
  "species": ["U", "Cd", "Pd", "Pd", "Au", "Au", "Au", "Au"],
  "frac_coords": [[0.000, 0.000, 0.000], [0.000, 0.000, 0.500], [0.500, 0.500, 0.118], [0.500, 0.500, 0.882], [0.000, 0.500, 0.302], [0.000, 0.500, 0.698], [0.500, 0.000, 0.302], [0.500, 0.000, 0.698]],
  "formation_enthalpy_0k_kj_per_mol_atoms": -12.0,
  "spacegroup": "P4/mmm",
  "m_tot_mub_per_atom": 0.324
}

=====

Entry 7:
{
  "formula": "VCdPdAu",
  "functional": "PBE-GGA",
  "state": "optimized geometry",
  "lattice": [[6.506, 0.000, 0.000], [0.000, 6.506, 0.000], [0.000, 0.000, 6.506]],
  "species": ["V", "V", "V", "V", "Cd", "Cd", "Cd", "Cd", "Pd", "Pd", "Pd", "Pd", "Au", "Au", "Au", "Au"],
  "frac_coords": [[0.000, 0.000, 0.000], [0.000, 0.500, 0.500], [0.500, 0.000, 0.500], [0.500, 0.500, 0.000], [0.000, 0.000, 0.500], [0.000, 0.500, 0.000], [0.500, 0.000, 0.000], [0.500, 0.500, 0.500], [0.250, 0.250, 0.750], [0.250, 0.750, 0.250], [0.750, 0.250, 0.250], [0.750, 0.750, 0.750], [0.250, 0.250, 0.250], [0.250, 0.750, 0.750], [0.750, 0.250, 0.750], [0.750, 0.750, 0.250]],
  "formation_enthalpy_0k_kj_per_mol_atoms": -3.5,
  "spacegroup": "F-43m",
  "m_tot_mub_per_atom": 0.623
}

=====

Entry 8:
{
  "formula": "YCd2PdAu",
  "functional": "PBE-GGA",
  "state": "optimized geometry",
  "lattice": [[5.061, 0.000, 0.000], [0.000, 5.061, 0.000], [0.000, 0.000, 5.206]],
  "species": ["Y", "Cd", "Cd", "Pd", "Au"],
  "frac_coords": [[0.000, 0.000, 0.000], [0.000, 0.500, 0.500], [0.500, 0.000, 0.500], [0.500, 0.500, 0.000], [0.500, 0.500, 0.500]],
  "formation_enthalpy_0k_kj_per_mol_atoms": 14.6,
  "spacegroup": "P4/mmm",
  "m_tot_mub_per_atom": 0.000
}

=====

Entry 9:
{
  "formula": "Zn2Cd2PdAu5",
  "functional": "PBE-GGA",
  "state": "optimized geometry",
  "lattice": [[9.649, 0.000, 0.000], [0.000, 9.649, 0.000], [0.000, 0.000, 3.925]],
  "species": ["Zn", "Zn", "Zn", "Zn", "Cd", "Cd", "Cd", "Cd", "Pd", "Pd", "Au", "Au", "Au", "Au", "Au", "Au", "Au", "Au", "Au", "Au"],
  "frac_coords": [[0.128, 0.372, 0.000], [0.372, 0.872, 0.000], [0.628, 0.128, 0.000], [0.872, 0.628, 0.000], [0.170, 0.670, 0.000], [0.330, 0.170, 0.000], [0.670, 0.830, 0.000], [0.830, 0.330, 0.000], [0.000, 0.000, 0.000], [0.500, 0.500, 0.000], [0.000, 0.500, 0.500], [0.090, 0.190, 0.500], [0.190, 0.910, 0.500], [0.310, 0.410, 0.500], [0.410, 0.690, 0.500], [0.500, 0.000, 0.500], [0.590, 0.310, 0.500], [0.690, 0.590, 0.500], [0.810, 0.090, 0.500], [0.910, 0.810, 0.500]],
  "formation_enthalpy_0k_kj_per_mol_atoms": -13.1,
  "spacegroup": "P4/mbm",
  "m_tot_mub_per_atom": 0.000
}

=====

Entry 10:
{
  "formula": "Zn2CdPd5Au2",
  "functional": "PBE-GGA",
  "state": "optimized geometry",
  "lattice": [[9.161, 0.000, 0.000], [0.000, 9.161, 0.000], [0.000, 0.000, 3.948]],
  "species": ["Zn", "Zn", "Zn", "Zn", "Cd", "Cd", "Pd", "Pd", "Pd", "Pd", "Pd", "Pd", "Pd", "Pd", "Pd", "Pd", "Au", "Au", "Au", "Au"],
  "frac_coords": [[0.127, 0.373, 0.000], [0.373, 0.873, 0.000], [0.627, 0.127, 0.000], [0.873, 0.627, 0.000], [0.000, 0.000, 0.000], [0.500, 0.500, 0.000], [0.000, 0.500, 0.500], [0.084, 0.198, 0.500], [0.198, 0.916, 0.500], [0.302, 0.416, 0.500], [0.416, 0.698, 0.500], [0.500, 0.000, 0.500], [0.584, 0.302, 0.500], [0.698, 0.584, 0.500], [0.802, 0.084, 0.500], [0.916, 0.802, 0.500], [0.168, 0.668, 0.000], [0.332, 0.168, 0.000], [0.668, 0.832, 0.000], [0.832, 0.332, 0.000]],
  "formation_enthalpy_0k_kj_per_mol_atoms": -25.4,
  "spacegroup": "P4/mbm",
  "m_tot_mub_per_atom": 0.000
}

=====

Entry 11:
{
  "formula": "ZnCdPdAu",
  "functional": "PBE-GGA",
  "state": "optimized geometry",
  "lattice": [[3.064, 0.000, 0.000], [0.000, 3.064, 0.000], [0.000, 0.000, 7.200]],
  "species": ["Zn", "Cd", "Pd", "Au"],
  "frac_coords": [[0.000, 0.000, 0.000], [0.000, 0.000, 0.470], [0.500, 0.500, 0.206], [0.500, 0.500, 0.762]],
  "formation_enthalpy_0k_kj_per_mol_atoms": -33.2,
  "spacegroup": "P4mm",
  "m_tot_mub_per_atom": 0.000
}

=====

Entry 12:
{
  "formula": "Zn2Cd2Pd5Au",
  "functional": "PBE-GGA",
  "state": "optimized geometry",
  "lattice": [[9.496, 0.000, 0.000], [0.000, 9.496, 0.000], [0.000, 0.000, 3.766]],
  "species": ["Zn", "Zn", "Zn", "Zn", "Cd", "Cd", "Cd", "Cd", "Pd", "Pd", "Pd", "Pd", "Pd", "Pd", "Pd", "Pd", "Pd", "Pd", "Au", "Au"],
  "frac_coords": [[0.127, 0.373, 0.000], [0.373, 0.873, 0.000], [0.627, 0.127, 0.000], [0.873, 0.627, 0.000], [0.171, 0.671, 0.000], [0.329, 0.171, 0.000], [0.671, 0.829, 0.000], [0.829, 0.329, 0.000], [0.000, 0.500, 0.500], [0.081, 0.200, 0.500], [0.200, 0.919, 0.500], [0.300, 0.419, 0.500], [0.419, 0.700, 0.500], [0.500, 0.000, 0.500], [0.581, 0.300, 0.500], [0.700, 0.581, 0.500], [0.800, 0.081, 0.500], [0.919, 0.800, 0.500], [0.000, 0.000, 0.000], [0.500, 0.500, 0.000]],
  "formation_enthalpy_0k_kj_per_mol_atoms": -27.9,
  "spacegroup": "P4/mbm",
  "m_tot_mub_per_atom": 0.000
}